Entry 1:
Compound: InFe4I2
Source: the Open Quantum Materials Database
Functional: PBE
Structure: optimized geometry

Lattice parameters (Å, degrees): 4.2120 4.2120 10.6407 90.00 90.00 120.00
Fractional positions:
1 I 0.3333 0.6667 0.1937
2 I 0.6667 0.3333 0.8063
3 In 0.0000 0.0000 0.5000
4 Fe 0.3333 0.6667 0.9496
5 Fe 0.6667 0.3333 0.5501
6 Fe 0.3333 0.6667 0.4499
7 Fe 0.6667 0.3333 0.0504

Properties
Its symmetry is P-3m1.



Entry 2:
Compound: K2NaFeI6
Source: the Open Quantum Materials Database
Functional: PBE
Structure: optimized geometry

Lattice parameters (Å, degrees): 8.2895 8.2895 8.2895 60.00 60.00 60.00
Fractional positions:
1 K 0.2500 0.2500 0.2500
2 K 0.7500 0.7500 0.7500
3 I 0.7627 0.2373 0.7627
4 I 0.7627 0.7627 0.2373
5 I 0.2373 0.2373 0.7627
6 I 0.2373 0.7627 0.2373
7 I 0.7627 0.2373 0.2373
8 I 0.2373 0.7627 0.7627
9 Fe 0.0000 0.0000 0.0000
10 Na 0.5000 0.5000 0.5000

Properties
Its symmetry is Fm-3m.



Entry 3:
Compound: NaLa6FeI12
Source: the Open Quantum Materials Database
Functional: PBE
Structure: optimized geometry

Lattice parameters (Å, degrees): 10.1183 10.1183 10.1183 107.12 107.12 107.12
Fractional positions:
1 Fe 0.0000 0.0000 0.0000
2 I 0.6829 0.2270 0.0753
3 I 0.6205 0.5411 0.8491
4 I 0.0753 0.6829 0.2270
5 I 0.3795 0.4589 0.1509
6 I 0.1509 0.3795 0.4589
7 I 0.2270 0.0753 0.6829
8 I 0.9247 0.3171 0.7730
9 I 0.8491 0.6205 0.5411
10 I 0.3171 0.7730 0.9247
11 I 0.4589 0.1509 0.3795
12 I 0.7730 0.9247 0.3171
13 I 0.5411 0.8491 0.6205
14 La 0.1026 0.0304 0.3053
15 La 0.9696 0.6947 0.8974
16 La 0.0304 0.3053 0.1026
17 La 0.6947 0.8974 0.9696
18 La 0.8974 0.9696 0.6947
19 La 0.3053 0.1026 0.0304
20 Na 0.5000 0.5000 0.5000

Properties
Its symmetry is R-3.



Entry 4:
Compound: LiFeI4
Source: the Open Quantum Materials Database
Functional: PBE
Structure: optimized geometry

Lattice parameters (Å, degrees): 8.0673 7.6440 14.6774 90.00 92.40 90.00
Fractional positions:
1 I 0.8123 0.6753 0.4461
2 I 0.1877 0.1753 0.0539
3 I 0.3113 0.8583 0.4328
4 I 0.9357 0.1755 0.3110
5 I 0.8123 0.8247 0.9461
6 I 0.4371 0.3231 0.3100
7 I 0.5629 0.8231 0.1900
8 I 0.0643 0.8245 0.6890
9 I 0.0643 0.6755 0.1890
10 I 0.4371 0.1769 0.8100
11 I 0.9357 0.3245 0.8110
12 I 0.5629 0.6769 0.6900
13 I 0.3113 0.6417 0.9328
14 I 0.6887 0.1417 0.5672
15 I 0.1877 0.3247 0.5539
16 I 0.6887 0.3583 0.0672
17 Fe 0.7891 0.8270 0.5992
18 Fe 0.7891 0.6730 0.0992
19 Fe 0.2109 0.1730 0.4008
20 Fe 0.2109 0.3270 0.9008
21 Li 0.3539 0.0168 0.6219
22 Li 0.6461 0.5168 0.8781
23 Li 0.3539 0.4832 0.1219
24 Li 0.6461 0.9832 0.3781

Properties
Its symmetry is P2_1/c.



Results for E_tot: -34.9; -29.1; -83.9; -77.7 (in eV for the cell shown, following the order of the records).